Material: Sm2Th2Rh3
Method: DFT, PBE
State: relaxed

## Properties
- Final energy: -51.32 eV per cell
- Calculated formation energy: -713 meV/atom

a = 4.0786 Å, b = 7.0089 Å, c = 7.1533 Å
α = 81.06°, β = 89.93°, γ = 73.10°
Space group P-1 (No. 2)
One atom of each set of equivalent atoms:
Sm  0.1290  0.2384  0.3664 x2
Th  0.3695  0.7592  0.1062 x2
Rh  0.0000  0.5000  0.0000 x1
Rh  0.2427  0.0179  0.7470 x2